(1)
This record from Alexandria via LeMat-Bulk describes a relaxed Pr2Sm6Dy3Ho crystal. The functional is PBE-GGA.

a b c (Å): 6.2574 6.2574 11.9753
angles (deg): 95.00 95.00 119.99
Fractional positions:
Pr 0.1666 0.8334 0.0000
Pr 0.8334 0.1666 0.0000
Sm 0.0837 0.4156 0.7469
Sm 0.2523 0.2523 0.2535
Sm 0.4156 0.0837 0.7469
Sm 0.5844 0.9163 0.2531
Sm 0.7477 0.7477 0.7465
Sm 0.9163 0.5844 0.2531
Dy 0.0000 0.0000 0.5000
Dy 0.3337 0.6663 0.5000
Dy 0.6663 0.3337 0.5000
Ho 0.5000 0.5000 0.0000

## Properties
The value obtained for the volume is 400 Å³/cell. The value obtained for the total energy is -4.673 eV per atom.

(2)
This record from Alexandria via LeMat-Bulk describes a relaxed Pr2SmDy6Ho3 crystal. The functional is PBE-GGA.

a b c (Å): 6.1910 6.1910 11.8258
angles (deg): 94.99 94.99 119.97
Fractional positions:
Pr 0.1666 0.8334 0.0000
Pr 0.8334 0.1666 0.0000
Sm 0.5000 0.5000 0.0000
Dy 0.0815 0.4144 0.7457
Dy 0.2527 0.2527 0.2544
Dy 0.4144 0.0815 0.7457
Dy 0.5856 0.9185 0.2543
Dy 0.7473 0.7473 0.7456
Dy 0.9185 0.5856 0.2543
Ho 0.0000 0.0000 0.5000
Ho 0.3334 0.6666 0.5000
Ho 0.6666 0.3334 0.5000

## Properties
The value obtained for the volume is 387 Å³/cell. The value obtained for the total energy is -4.617 eV per atom.

(3)
This record from Alexandria via LeMat-Bulk describes a relaxed Pr2SmDyHo4 crystal. The functional is PBE-GGA.

a b c (Å): 9.5343 9.5343 9.5343
angles (deg): 138.09 102.96 91.80
Fractional positions:
Pr 0.0000 0.0000 0.0000
Pr 0.5000 0.0000 0.0000
Pr 0.5000 0.0000 0.5000
Pr 0.5000 0.5000 0.5000
Sm 0.0000 0.5000 0.5000
Sm 0.5000 0.5000 0.0000
Dy 0.0000 0.0000 0.5000
Dy 0.0000 0.5000 0.0000
Ho 0.2454 0.2458 0.5004
Ho 0.2454 0.7450 0.9996
Ho 0.2453 0.7498 0.4955
Ho 0.2458 0.2502 0.9955
Ho 0.7542 0.7498 0.0045
Ho 0.7547 0.2502 0.5045
Ho 0.7546 0.2550 0.0004
Ho 0.7546 0.7542 0.4996

## Properties
The value obtained for the volume is 537 Å³/cell. The value obtained for the total energy is -4.234 eV per atom.

(4)
This record from Alexandria via LeMat-Bulk describes a relaxed Pr2Sm2Dy2Ho crystal. The functional is PBE-GGA.

a b c (Å): 8.8810 8.8810 8.8810
angles (deg): 37.72 37.72 37.72
Fractional positions:
Pr 0.1383 0.1383 0.1383
Pr 0.8617 0.8617 0.8617
Sm 0.2848 0.2848 0.2848
Sm 0.7152 0.7152 0.7152
Dy 0.4272 0.4272 0.4272
Dy 0.5728 0.5728 0.5728
Ho 0.0000 0.0000 0.0000

## Properties
The value obtained for the volume is 235 Å³/cell. The value obtained for the total energy is -4.549 eV per atom.

(5)
This record from Alexandria via LeMat-Bulk describes a relaxed PrSm4DyHo2 crystal. The functional is PBE-GGA.

a b c (Å): 9.5508 9.5508 6.8633
angles (deg): 111.05 111.05 88.33
Fractional positions:
Pr 0.0000 0.5000 0.0000
Pr 0.5000 0.0000 0.5000
Sm 0.2471 0.2522 0.4906
Sm 0.2492 0.7505 0.0002
Sm 0.2495 0.7508 0.4998
Sm 0.2522 0.2471 0.9906
Sm 0.7478 0.7529 0.0094
Sm 0.7505 0.2492 0.5002
Sm 0.7508 0.2495 0.9998
Sm 0.7529 0.7478 0.5094
Dy 0.5000 0.5000 0.0000
Dy 0.5000 0.5000 0.5000
Ho 0.0000 0.0000 0.0000
Ho 0.0000 0.0000 0.5000
Ho 0.0000 0.5000 0.5000
Ho 0.5000 0.0000 0.0000

## Properties
The value obtained for the volume is 542 Å³/cell. The value obtained for the total energy is -4.271 eV per atom.

(6)
This record from Alexandria via LeMat-Bulk describes a relaxed Pr3Sm2DyHo6 crystal. The functional is PBE-GGA.

a b c (Å): 6.2311 6.2311 11.8168
angles (deg): 95.02 95.02 119.99
Fractional positions:
Pr 0.0000 0.0000 0.0000
Pr 0.3333 0.6667 0.0000
Pr 0.6667 0.3333 0.0000
Sm 0.1665 0.8335 0.5000
Sm 0.8335 0.1665 0.5000
Dy 0.5000 0.5000 0.5000
Ho 0.0845 0.4175 0.2528
Ho 0.2495 0.2495 0.7474
Ho 0.4175 0.0845 0.2528
Ho 0.5825 0.9155 0.7472
Ho 0.7505 0.7505 0.2526
Ho 0.9155 0.5825 0.7472

## Properties
The value obtained for the volume is 391 Å³/cell. The value obtained for the total energy is -4.637 eV per atom.

(7)
This record from Alexandria via LeMat-Bulk describes a relaxed PrSm3Dy2Ho6 crystal. The functional is PBE-GGA.

a b c (Å): 6.1829 6.1829 11.7916
angles (deg): 95.00 95.00 119.97
Fractional positions:
Pr 0.0000 0.0000 0.0000
Sm 0.1669 0.8331 0.5000
Sm 0.5000 0.5000 0.5000
Sm 0.8331 0.1669 0.5000
Dy 0.3333 0.6667 0.0000
Dy 0.6667 0.3333 0.0000
Ho 0.0839 0.4179 0.2495
Ho 0.2503 0.2503 0.7506
Ho 0.4179 0.0839 0.2495
Ho 0.5821 0.9161 0.7505
Ho 0.7497 0.7497 0.2494
Ho 0.9161 0.5821 0.7505

## Properties
The value obtained for the volume is 385 Å³/cell. The value obtained for the total energy is -4.618 eV per atom.

(8)
This record from Alexandria via LeMat-Bulk describes a relaxed TbPr2Dy2Ho4 crystal. The functional is PBE-GGA.

a b c (Å): 6.1822 6.1866 7.9936
angles (deg): 82.55 75.13 80.41
Fractional positions:
Tb 0.0000 0.0000 0.0000
Pr 0.3324 0.6676 0.6685
Pr 0.6676 0.3324 0.3315
Dy 0.1094 0.2226 0.5559
Dy 0.8906 0.7774 0.4441
Ho 0.2232 0.4446 0.1108
Ho 0.4429 0.8893 0.2196
Ho 0.5571 0.1107 0.7804
Ho 0.7768 0.5554 0.8892

## Properties
The value obtained for the volume is 290 Å³/cell. The value obtained for the total energy is -4.615 eV per atom.

Question: Among the records above, which one has the highest volume?
Answer: PrSm4DyHo2